[1]
DFT (GGA-PBE) results for a relaxed structure of YHgB4.

Cell lengths 3.209, 5.314, 8.361 Å; angles 90.00, 90.00, 90.00 degrees
Fractional coordinates of all 12 atoms:
Y 0.000 0.000 0.000
Y 0.500 0.500 0.500
Hg 0.000 0.000 0.500
Hg 0.500 0.500 0.000
B 0.000 0.318 0.267
B 0.000 0.318 0.733
B 0.000 0.682 0.267
B 0.000 0.682 0.733
B 0.500 0.182 0.233
B 0.500 0.182 0.767
B 0.500 0.818 0.233
B 0.500 0.818 0.767

Output
Excess energy over the best structure of this formula in the dataset = 0 kJ/mol of formula units



[2]
DFT (GGA-PBE) results for a relaxed structure of YHg2B.

Cell lengths 6.849, 6.849, 6.849 Å; angles 90.00, 90.00, 90.00 degrees
Fractional coordinates of all 16 atoms:
Y 0.000 0.000 0.000
Y 0.000 0.500 0.500
Y 0.500 0.000 0.500
Y 0.500 0.500 0.000
Hg 0.000 0.000 0.500
Hg 0.000 0.500 0.000
Hg 0.250 0.250 0.250
Hg 0.250 0.750 0.750
Hg 0.500 0.000 0.000
Hg 0.500 0.500 0.500
Hg 0.750 0.250 0.750
Hg 0.750 0.750 0.250
B 0.250 0.250 0.750
B 0.250 0.750 0.250
B 0.750 0.250 0.250
B 0.750 0.750 0.750

Output
E = -3.05 eV per atom



[3]
DFT (GGA-PBE) results for a relaxed structure of YHgB2.

Cell lengths 6.457, 6.457, 6.457 Å; angles 90.00, 90.00, 90.00 degrees
Fractional coordinates of all 16 atoms:
Y 0.000 0.000 0.000
Y 0.000 0.500 0.500
Y 0.500 0.000 0.500
Y 0.500 0.500 0.000
Hg 0.250 0.250 0.250
Hg 0.250 0.750 0.750
Hg 0.750 0.250 0.750
Hg 0.750 0.750 0.250
B 0.000 0.000 0.500
B 0.000 0.500 0.000
B 0.250 0.250 0.750
B 0.250 0.750 0.250
B 0.500 0.000 0.000
B 0.500 0.500 0.500
B 0.750 0.250 0.250
B 0.750 0.750 0.750

Output
E = -3.87 eV per atom